# Cs5Rb4 GGA-PBE relaxed
data_Cs5Rb4
_chemical_formula_sum 'Cs5 Rb4'
_cell_length_a 11.6707
_cell_length_b 11.6707
_cell_length_c 11.6707
_cell_angle_alpha 96.10
_cell_angle_beta 96.10
_cell_angle_gamma 141.96
_symmetry_space_group_name_H-M 'P 1'
_symmetry_Int_Tables_number 1
_symmetry_space_group_name_Hall 'P 1'
loop_
_atom_site_label
_atom_site_type_symbol
_atom_site_fract_x
_atom_site_fract_y
_atom_site_fract_z
Cs1 Cs 0.0000 0.0000 0.0000
Cs2 Cs 0.3300 0.6689 0.9988
Cs3 Cs 0.3311 0.3300 0.6611
Cs4 Cs 0.6689 0.6700 0.3389
Cs5 Cs 0.6700 0.3311 0.0012
Rb1 Rb 0.0003 0.3423 0.3426
Rb2 Rb 0.9997 0.6577 0.6574
Rb3 Rb 0.3423 0.9997 0.3420
Rb4 Rb 0.6577 0.0003 0.6580
# * E above lowest polymorph: 0.0 kJ/mol of atoms
# * size of the total moment: 0.0 μB per cell
# * E: -8.11 eV per cell
# * formation energy: 4 meV/atom